# BaLiCu2 (PBE-GGA, relaxed)
data_BaLiCu2
_chemical_formula_sum 'Ba1 Li1 Cu2'
_space_group_name_H-M_alt 'P 1'
_space_group_IT_number 1
_space_group_name_Hall 'P 1'
_cell_length_a 4.2949
_cell_length_b 4.0611
_cell_length_c 6.1291
_cell_angle_alpha 71.15
_cell_angle_beta 90.00
_cell_angle_gamma 90.00
loop_
_atom_site_label
_atom_site_fract_x
_atom_site_fract_y
_atom_site_fract_z
Ba1 0.5000 0.7784 0.8138
Cu1 0.0000 0.1523 0.0680
Cu2 0.5000 0.0599 0.2608
Li1 0.0000 0.5094 0.3575
# SG: Pm
# Total DFT energy (no corrections) in eV per atom: -2.932
# Excess energy over the best structure of this formula in the dataset in meV per atom: 102

***

# BaLi2Cu (PBE-GGA, relaxed)
data_BaLi2Cu
_chemical_formula_sum 'Ba2 Li4 Cu2'
_space_group_name_H-M_alt 'P 1'
_space_group_IT_number 1
_space_group_name_Hall 'P 1'
_cell_length_a 4.9640
_cell_length_b 4.9640
_cell_length_c 10.0852
_cell_angle_alpha 75.75
_cell_angle_beta 75.75
_cell_angle_gamma 90.00
loop_
_atom_site_label
_atom_site_fract_x
_atom_site_fract_y
_atom_site_fract_z
Ba1 0.0000 0.0000 0.0000
Ba2 0.7500 0.2500 0.5000
Cu1 0.5000 0.5000 0.0000
Cu2 0.2500 0.7500 0.5000
Li1 0.3747 0.1250 0.2500
Li2 0.3753 0.6250 0.2500
Li3 0.3750 0.6253 0.7500
Li4 0.8750 0.6247 0.7500
# SG: I4_1/amd
# Total DFT energy (no corrections) in eV per atom: -2.290
# Excess energy over the best structure of this formula in the dataset in meV per atom: 150

***

# BaLi2Cu (PBE-GGA, relaxed)
data_BaLi2Cu
_chemical_formula_sum 'Ba1 Li2 Cu1'
_space_group_name_H-M_alt 'P 1'
_space_group_IT_number 1
_space_group_name_Hall 'P 1'
_cell_length_a 4.9106
_cell_length_b 4.9106
_cell_length_c 5.8997
_cell_angle_alpha 76.16
_cell_angle_beta 76.16
_cell_angle_gamma 49.95
loop_
_atom_site_label
_atom_site_fract_x
_atom_site_fract_y
_atom_site_fract_z
Ba1 0.7500 0.7500 0.7500
Cu1 0.2500 0.2500 0.2500
Li1 0.9425 0.9425 0.1610
Li2 0.5575 0.5575 0.3390
# SG: C2/m
# Total DFT energy (no corrections) in eV per atom: -2.384
# Excess energy over the best structure of this formula in the dataset in meV per atom: 57

***

# BaLi2Cu (PBE-GGA, relaxed)
data_BaLi2Cu
_chemical_formula_sum 'Ba1 Li2 Cu1'
_space_group_name_H-M_alt 'P 1'
_space_group_IT_number 1
_space_group_name_Hall 'P 1'
_cell_length_a 4.3097
_cell_length_b 4.0558
_cell_length_c 6.7517
_cell_angle_alpha 72.04
_cell_angle_beta 90.00
_cell_angle_gamma 90.00
loop_
_atom_site_label
_atom_site_fract_x
_atom_site_fract_y
_atom_site_fract_z
Ba1 0.0000 0.5325 0.5679
Cu1 0.5000 0.9096 0.8094
Li1 0.0000 0.7937 0.0302
Li2 0.5000 0.2641 0.0925
# SG: Pm
# Total DFT energy (no corrections) in eV per atom: -2.398
# Excess energy over the best structure of this formula in the dataset in meV per atom: 43

***

# BaLiCu2 (PBE-GGA, relaxed)
data_BaLiCu2
_chemical_formula_sum 'Ba1 Li1 Cu2'
_space_group_name_H-M_alt 'P 1'
_space_group_IT_number 1
_space_group_name_Hall 'P 1'
_cell_length_a 4.4228
_cell_length_b 4.4228
_cell_length_c 6.1468
_cell_angle_alpha 68.87
_cell_angle_beta 68.87
_cell_angle_gamma 60.00
loop_
_atom_site_label
_atom_site_fract_x
_atom_site_fract_y
_atom_site_fract_z
Ba1 0.2500 0.2500 0.2500
Cu1 0.0600 0.0600 0.8199
Cu2 0.4400 0.4400 0.6801
Li1 0.7500 0.7500 0.7500
# SG: R-3m
# Total DFT energy (no corrections) in eV per atom: -3.034
# Excess energy over the best structure of this formula in the dataset in meV per atom: 0

***

# Ba4Li2Cu (PBE-GGA, relaxed)
data_Ba4Li2Cu
_chemical_formula_sum 'Ba4 Li2 Cu1'
_space_group_name_H-M_alt 'P 1'
_space_group_IT_number 1
_space_group_name_Hall 'P 1'
_cell_length_a 6.1057
_cell_length_b 6.1057
_cell_length_c 10.4047
_cell_angle_alpha 72.94
_cell_angle_beta 72.94
_cell_angle_gamma 90.00
loop_
_atom_site_label
_atom_site_fract_x
_atom_site_fract_y
_atom_site_fract_z
Ba1 0.8226 0.8226 0.3548
Ba2 0.1774 0.1774 0.6452
Ba3 0.0000 0.5000 0.0000
Ba4 0.5000 0.0000 0.0000
Cu1 0.0000 0.0000 0.0000
Li1 0.6235 0.6235 0.7530
Li2 0.3765 0.3765 0.2470
# SG: I4/mmm
# Total DFT energy (no corrections) in eV per atom: -2.113

***

# BaLi4Cu9 (PBE-GGA, relaxed)
data_BaLi4Cu9
_chemical_formula_sum 'Ba2 Li8 Cu18'
_space_group_name_H-M_alt 'P 1'
_space_group_IT_number 1
_space_group_name_Hall 'P 1'
_cell_length_a 8.3750
_cell_length_b 8.3750
_cell_length_c 8.5060
_cell_angle_alpha 119.49
_cell_angle_beta 119.49
_cell_angle_gamma 90.00
loop_
_atom_site_label
_atom_site_fract_x
_atom_site_fract_y
_atom_site_fract_z
Ba1 0.7500 0.7500 0.5000
Ba2 0.2500 0.2500 0.5000
Li1 0.3031 0.8031 0.2418
Li2 0.9387 0.4387 0.2418
Li3 0.5613 0.6969 0.7582
Li4 0.1969 0.0613 0.7582
Li5 0.6969 0.1969 0.7582
Li6 0.0613 0.5613 0.7582
Li7 0.8031 0.9387 0.2418
Li8 0.4387 0.3031 0.2418
Cu1 0.0649 0.2092 0.0000
Cu2 0.9351 0.7908 0.0000
Cu3 0.5649 0.2908 0.0000
Cu4 0.4351 0.7092 0.0000
Cu5 0.2908 0.4351 0.0000
Cu6 0.7092 0.5649 0.0000
Cu7 0.2092 0.9351 0.0000
Cu8 0.7908 0.0649 0.0000
Cu9 0.0000 0.5000 0.0000
Cu10 0.5000 0.0000 0.0000
Cu11 0.7831 0.2831 0.3514
Cu12 0.5684 0.0684 0.3514
Cu13 0.9316 0.2169 0.6486
Cu14 0.7169 0.4316 0.6486
Cu15 0.2169 0.7169 0.6486
Cu16 0.4316 0.9316 0.6486
Cu17 0.2831 0.5684 0.3514
Cu18 0.0684 0.7831 0.3514
# SG: I4/mcm
# Total DFT energy (no corrections) in eV per atom: -3.351

***

# BaLi2Cu (PBE-GGA, relaxed)
data_BaLi2Cu
_chemical_formula_sum 'Ba1 Li2 Cu1'
_space_group_name_H-M_alt 'P 1'
_space_group_IT_number 1
_space_group_name_Hall 'P 1'
_cell_length_a 4.4622
_cell_length_b 4.4622
_cell_length_c 5.6478
_cell_angle_alpha 90.00
_cell_angle_beta 90.00
_cell_angle_gamma 90.02
loop_
_atom_site_label
_atom_site_fract_x
_atom_site_fract_y
_atom_site_fract_z
Ba1 0.5000 0.0000 0.5000
Cu1 0.0000 0.5000 0.5000
Li1 0.0000 0.0000 0.0000
Li2 0.5000 0.5000 0.0000
# SG: P4/mmm
# Total DFT energy (no corrections) in eV per atom: -2.284
# Excess energy over the best structure of this formula in the dataset in meV per atom: 157

***

# BaLiCu2 (PBE-GGA, relaxed)
data_BaLiCu2
_chemical_formula_sum 'Ba1 Li1 Cu2'
_space_group_name_H-M_alt 'P 1'
_space_group_IT_number 1
_space_group_name_Hall 'P 1'
_cell_length_a 5.2669
_cell_length_b 5.2669
_cell_length_c 5.2669
_cell_angle_alpha 126.53
_cell_angle_beta 111.36
_cell_angle_gamma 92.33
loop_
_atom_site_label
_atom_site_fract_x
_atom_site_fract_y
_atom_site_fract_z
Ba1 0.2500 0.7500 0.5000
Cu1 0.9195 0.9195 0.0000
Cu2 0.5805 0.5805 0.0000
Li1 0.7500 0.2500 0.5000
# SG: Immm
# Total DFT energy (no corrections) in eV per atom: -2.879
# Excess energy over the best structure of this formula in the dataset in meV per atom: 155

***

# BaLi4Cu (PBE-GGA, relaxed)
data_BaLi4Cu
_chemical_formula_sum 'Ba1 Li4 Cu1'
_space_group_name_H-M_alt 'P 1'
_space_group_IT_number 1
_space_group_name_Hall 'P 1'
_cell_length_a 5.7944
_cell_length_b 5.7944
_cell_length_c 5.7944
_cell_angle_alpha 60.00
_cell_angle_beta 60.00
_cell_angle_gamma 60.00
loop_
_atom_site_label
_atom_site_fract_x
_atom_site_fract_y
_atom_site_fract_z
Ba1 0.7500 0.7500 0.7500
Li1 0.8848 0.3718 0.3718
Li2 0.3718 0.3718 0.8848
Li3 0.3718 0.8848 0.3718
Li4 0.3718 0.3718 0.3718
Cu1 0.0000 0.0000 0.0000
# SG: F-43m
# Total DFT energy (no corrections) in eV per atom: -2.140

***

# BaLiCu2 (PBE-GGA, relaxed)
data_BaLiCu2
_chemical_formula_sum 'Ba2 Li2 Cu4'
_space_group_name_H-M_alt 'P 1'
_space_group_IT_number 1
_space_group_name_Hall 'P 1'
_cell_length_a 4.9405
_cell_length_b 4.9405
_cell_length_c 9.1263
_cell_angle_alpha 74.30
_cell_angle_beta 74.30
_cell_angle_gamma 90.00
loop_
_atom_site_label
_atom_site_fract_x
_atom_site_fract_y
_atom_site_fract_z
Ba1 0.0000 0.0000 0.0000
Ba2 0.7500 0.2500 0.5000
Cu1 0.3751 0.1250 0.2500
Cu2 0.3749 0.6250 0.2500
Cu3 0.3750 0.6249 0.7500
Cu4 0.8750 0.6251 0.7500
Li1 0.5000 0.5000 0.0000
Li2 0.2500 0.7500 0.5000
# SG: I4_1/amd
# Total DFT energy (no corrections) in eV per atom: -2.904
# Excess energy over the best structure of this formula in the dataset in meV per atom: 130

***

# BaLi6Cu2 (PBE-GGA, relaxed)
data_BaLi6Cu2
_chemical_formula_sum 'Ba1 Li6 Cu2'
_space_group_name_H-M_alt 'P 1'
_space_group_IT_number 1
_space_group_name_Hall 'P 1'
_cell_length_a 4.3956
_cell_length_b 4.3956
_cell_length_c 9.9181
_cell_angle_alpha 90.00
_cell_angle_beta 90.00
_cell_angle_gamma 90.00
loop_
_atom_site_label
_atom_site_fract_x
_atom_site_fract_y
_atom_site_fract_z
Ba1 0.0000 0.0000 0.0000
Li1 0.0000 0.5000 0.2964
Li2 0.5000 0.0000 0.2964
Li3 0.0000 0.5000 0.7036
Li4 0.5000 0.0000 0.7036
Li5 0.5000 0.5000 0.5000
Li6 0.0000 0.0000 0.5000
Cu1 0.5000 0.5000 0.1309
Cu2 0.5000 0.5000 0.8691
# SG: P4/mmm
# Total DFT energy (no corrections) in eV per atom: -2.392